# CaZn9Co2, optimized geometry, DFT PBE
# Formation energy in eV/atom: -0.129
# Size of the total moment in μB per formula unit: 0.01
# Final energy in eV/atom: -2.44
# Crystal system: tetragonal
data_CaZn9Co2
_cell_length_a 10.389
_cell_length_b 10.389
_cell_length_c 6.825
_cell_angle_alpha 90.00
_cell_angle_beta 90.00
_cell_angle_gamma 90.00
_space_group_name_H-M_alt 'I 41/a m d'
_space_group_IT_number 141
loop_
_space_group_symop_operation_xyz
'x,y,z'
'-x,-y,-z'
'-y+1/4,x+3/4,z+1/4'
'y+1/4,-x+3/4,-z+1/4'
'-x+1/2,-y,z+1/2'
'x+1/2,y,-z+1/2'
'y+1/4,-x+1/4,z+3/4'
'-y+1/4,x+1/4,-z+3/4'
'x,-y,-z'
'-x,y,z'
'-y+1/4,-x+1/4,-z+3/4'
'y+1/4,x+1/4,z+3/4'
'-x+1/2,y,-z+1/2'
'x+1/2,-y,z+1/2'
'y+1/4,x+3/4,-z+1/4'
'-y+1/4,-x+3/4,z+1/4'
'x+1/2,y+1/2,z+1/2'
'-x+1/2,-y+1/2,-z+1/2'
'-y+3/4,x+1/4,z+3/4'
'y+3/4,-x+1/4,-z+3/4'
'-x,-y+1/2,z'
'x,y+1/2,-z'
'y+3/4,-x+3/4,z+1/4'
'-y+3/4,x+3/4,-z+1/4'
'x+1/2,-y+1/2,-z+1/2'
'-x+1/2,y+1/2,z+1/2'
'-y+3/4,-x+3/4,-z+1/4'
'y+3/4,x+3/4,z+1/4'
'-x,y+1/2,-z'
'x,-y+1/2,z'
'y+3/4,x+1/4,-z+3/4'
'-y+3/4,-x+1/4,z+3/4'
loop_
_atom_site_label
_atom_site_fract_x
_atom_site_fract_y
_atom_site_fract_z
_atom_site_occupancy
Ca1 0.000 0.250 0.375 1
Zn1 0.000 0.250 0.875 1
Zn2 0.122 0.045 0.690 1
Co1 0.000 0.000 0.000 1

# ScIn2Ge2, optimized geometry, DFT PBE
# Formation energy in eV/atom: -0.120
# Size of the total moment in μB per formula unit: 0.00
# ΔE to the lowest computed polymorph in meV/atom: 0.0
# Final energy in eV/atom: -4.33
# Crystal system: tetragonal
data_ScIn2Ge2
_cell_length_a 7.313
_cell_length_b 7.313
_cell_length_c 4.146
_cell_angle_alpha 90.00
_cell_angle_beta 90.00
_cell_angle_gamma 90.00
_space_group_name_H-M_alt 'P 4/m b m'
_space_group_IT_number 127
_space_group_name_Hall '-P 4 2ab'
loop_
_atom_site_label
_atom_site_fract_x
_atom_site_fract_y
_atom_site_fract_z
_atom_site_occupancy
Sc1 0.000 0.000 0.000 1
In1 0.173 0.327 0.500 1
Ge1 0.130 0.630 0.000 1